(1)
A plane-wave DFT calculation with PBE-GGA was carried out for crystalline MnPd2Se4 at its relaxed geometry.

Lattice parameters (Å, degrees): 7.4520 7.4520 10.5517 90.00 90.00 90.00
Atoms (fractional coordinates):
Mn: 0.0000 0.7602 0.5000
Mn: 0.2398 0.0000 0.7500
Mn: 0.7602 0.0000 0.2500
Mn: 0.0000 0.2398 0.0000
Pd: 0.7411 0.7411 0.8750
Pd: 0.2589 0.7411 0.1250
Pd: 0.7411 0.2589 0.6250
Pd: 0.2589 0.2589 0.3750
Pd: 0.7592 0.5000 0.2500
Pd: 0.5000 0.2408 0.0000
Pd: 0.5000 0.7592 0.5000
Pd: 0.2408 0.5000 0.7500
Se: 0.2434 0.9879 0.5125
Se: 0.7566 0.9879 0.4875
Se: 0.0121 0.2434 0.7625
Se: 0.7566 0.0121 0.0125
Se: 0.2429 0.4684 0.9913
Se: 0.5316 0.2429 0.2413
Se: 0.4684 0.7571 0.7413
Se: 0.2429 0.5316 0.5087
Se: 0.7571 0.4684 0.0087
Se: 0.7571 0.5316 0.4913
Se: 0.4684 0.2429 0.7587
Se: 0.5316 0.7571 0.2587
Se: 0.9879 0.2434 0.2375
Se: 0.2434 0.0121 0.9875
Se: 0.9879 0.7566 0.2625
Se: 0.0121 0.7566 0.7375

Computed properties:
relative energy among the computed polymorphs	0.000	eV per atom



(2)
A plane-wave DFT calculation with PBE-GGA was carried out for crystalline MnPd2Se at its relaxed geometry.

Lattice parameters (Å, degrees): 3.3769 3.3769 5.6035 90.00 90.00 90.00
Atoms (fractional coordinates):
Mn: 0.5000 0.5000 0.0000
Se: 0.5000 0.5000 0.5000
Pd: 0.0000 0.0000 0.7576
Pd: 0.0000 0.0000 0.2424

Computed properties:
relative energy among the computed polymorphs	0.000	eV per atom



(3)
A plane-wave DFT calculation with PBE-GGA was carried out for crystalline MnPd3Se at its relaxed geometry.

Lattice parameters (Å, degrees): 4.6664 4.6664 4.6664 90.00 90.00 90.00
Atoms (fractional coordinates):
Mn: 0.5000 0.5000 0.5000
Se: 0.0000 0.0000 0.0000
Pd: 0.0000 0.5000 0.0000
Pd: 0.0000 0.0000 0.5000
Pd: 0.5000 0.0000 0.0000

Computed properties:
relative energy among the computed polymorphs	0.000	eV per atom



(4)
A plane-wave DFT calculation with PBE-GGA was carried out for crystalline MnPdSe3 at its relaxed geometry.

Lattice parameters (Å, degrees): 4.6574 4.6574 4.6574 90.00 90.00 90.00
Atoms (fractional coordinates):
Mn: 0.0000 0.0000 0.0000
Se: 0.0000 0.5000 0.0000
Se: 0.0000 0.0000 0.5000
Se: 0.5000 0.0000 0.0000
Pd: 0.5000 0.5000 0.5000

Computed properties:
relative energy among the computed polymorphs	0.846	eV per atom



(5)
A plane-wave DFT calculation with PBE-GGA was carried out for crystalline MnPd2Se6 at its relaxed geometry.

Lattice parameters (Å, degrees): 3.6790 7.4118 8.2892 103.82 102.82 90.00
Atoms (fractional coordinates):
Mn: 0.5000 0.0000 0.0000
Pd: 0.8355 0.6688 0.6710
Pd: 0.1645 0.3312 0.3290
Se: 0.3424 0.9064 0.6847
Se: 0.0020 0.2295 0.0041
Se: 0.6744 0.5685 0.3489
Se: 0.9980 0.7705 0.9959
Se: 0.6576 0.0936 0.3153
Se: 0.3256 0.4315 0.6511



(6)
A plane-wave DFT calculation with PBE-GGA was carried out for crystalline MnPd2Se at its relaxed geometry.

Lattice parameters (Å, degrees): 7.1613 7.1613 5.7296 51.32 51.32 90.00
Atoms (fractional coordinates):
Mn: 0.5000 0.5000 0.0000
Mn: 0.2500 0.7500 0.5000
Se: 0.0000 0.0000 0.0000
Se: 0.7500 0.2500 0.5000
Pd: 0.6312 0.1250 0.2500
Pd: 0.1188 0.6250 0.2500
Pd: 0.3750 0.3688 0.7500
Pd: 0.8750 0.8812 0.7500

Computed properties:
relative energy among the computed polymorphs	0.147	eV per atom



(7)
A plane-wave DFT calculation with PBE-GGA was carried out for crystalline Mn2Pd8Se at its relaxed geometry.

Lattice parameters (Å, degrees): 4.2605 5.6886 7.4708 98.67 106.57 90.00
Atoms (fractional coordinates):
Mn: 0.7825 0.3376 0.5651
Mn: 0.2175 0.6624 0.4349
Pd: 0.4058 0.5570 0.8116
Pd: 0.6662 0.9161 0.3324
Pd: 0.8375 0.7859 0.6750
Pd: 0.9638 0.2506 0.9275
Pd: 0.1625 0.2141 0.3250
Pd: 0.3338 0.0839 0.6676
Pd: 0.5942 0.4430 0.1884
Pd: 0.0362 0.7494 0.0725
Se: 0.5000 0.0000 0.0000



(8)
A plane-wave DFT calculation with PBE-GGA was carried out for crystalline MnPd3Se6 at its relaxed geometry.

Lattice parameters (Å, degrees): 7.5371 7.5371 7.5371 90.18 90.18 90.18
Atoms (fractional coordinates):
Mn: 0.0000 0.0000 0.0000
Mn: 0.5000 0.5000 0.5000
Pd: 0.4468 0.9151 0.7549
Pd: 0.9151 0.7549 0.4468
Pd: 0.2451 0.5532 0.0849
Pd: 0.7549 0.4468 0.9151
Pd: 0.0849 0.2451 0.5532
Pd: 0.5532 0.0849 0.2451
Se: 0.3103 0.9137 0.0688
Se: 0.0863 0.9312 0.6897
Se: 0.5878 0.8154 0.4653
Se: 0.9312 0.6897 0.0863
Se: 0.4653 0.5878 0.8154
Se: 0.1846 0.5347 0.4122
Se: 0.8154 0.4653 0.5878
Se: 0.5347 0.4122 0.1846
Se: 0.0688 0.3103 0.9137
Se: 0.4122 0.1846 0.5347
Se: 0.9137 0.0688 0.3103
Se: 0.6897 0.0863 0.9312

Computed properties:
relative energy among the computed polymorphs	0.012	eV per atom



| no. | raw formation energy (kJ/mol of formula units) | total energy (eV per atom) |
| --- | --- | --- |
| 1 | -242 | -5.1432 |
| 2 | -58 | -5.9094 |
| 3 | 117 | -5.4038 |
| 4 | 244 | -4.4574 |
| 5 | -268 | -4.8048 |
| 6 | -1 | -5.7627 |
| 7 | -177 | -5.9270 |
| 8 | -246 | -4.8203 |